SrPrFe2O6 (GGA-PBEsol, optimized geometry); ρ = 6.647 Mg/m³; formation energy (no corrections) = -2.244 eV per atom
1.0
7.569 0.000 0.000
0.000 5.344 0.000
0.000 0.000 5.388
Sr Pr Fe O
2 2 4 12
Direct
0.000 0.249 0.000
0.500 0.751 0.500
0.000 0.748 0.504
0.500 0.252 0.004
0.250 0.250 0.500
0.250 0.750 0.000
0.750 0.250 0.500
0.750 0.750 0.000
0.000 0.251 0.467
0.000 0.750 0.049
0.228 0.994 0.743
0.229 0.503 0.747
0.271 0.497 0.247
0.272 0.006 0.243
0.500 0.250 0.549
0.500 0.749 0.967
0.728 0.006 0.243
0.729 0.497 0.247
0.771 0.503 0.747
0.772 0.994 0.743

YMo2W2 (GGA-PBEsol, optimized geometry); energy of formation = 471 meV per atom; ρ = 10.984 Mg/m³
1.0
-2.164 2.164 5.234
2.164 -2.164 5.234
2.164 2.164 -5.234
Y Mo W
1 2 2
Direct
0.000 0.000 0.000
0.250 0.750 0.500
0.750 0.250 0.500
0.378 0.378 0.000
0.622 0.622 0.000

Ti3InFe (GGA-PBEsol, optimized geometry); energy of formation = 1653 meV per atom; ρ = 4.382 Mg/m³
1.0
4.920 0.000 0.000
0.000 4.920 0.000
0.000 0.000 4.920
Ti In Fe
3 1 1
Direct
0.000 0.000 0.500
0.000 0.500 0.000
0.500 0.000 0.000
0.000 0.000 0.000
0.500 0.500 0.500

Q: The highest ρ belongs to which entry?
A: YMo2W2